Density functional theory data (PBE) for an optimized crystal structure of Pm4Dy2Ho2Tm.

Results
Uncorrected energy   -0.170 Ha/atom
Density   7.99 g cm⁻³
Energy of formation from the pure elements   0.020 eV per atom

a b c (Å): 15.203 5.062 7.998
angles (deg): 90.00 108.49 90.00
Space group C2/m (No. 12)
Symmetry-distinct sites (fractional):
Pm: 0.054 0.000 0.331
Pm: 0.222 0.500 0.332
Dy: 0.111 0.500 0.670
Ho: 0.167 0.000 0.000
Tm: 0.000 0.500 0.000

Density functional theory data (PBE) for an optimized crystal structure of Pm3Dy6HoTm2.

Results
Uncorrected energy   -0.169 Ha/atom
Density   8.32 g cm⁻³
Energy of formation from the pure elements   0.019 eV per atom

a b c (Å): 6.165 10.674 11.783
angles (deg): 90.00 100.02 90.00
Space group C2/m (No. 12)
Symmetry-distinct sites (fractional):
Pm: 0.000 0.000 0.000
Pm: 0.000 0.333 0.000
Dy: 0.249 0.000 0.746
Dy: 0.249 0.333 0.746
Ho: 0.000 0.500 0.500
Tm: 0.000 0.167 0.500

Which value of uncorrected energy does entry 2 give? -0.169 Ha/atom

Copy entry 1 word for word.
Density functional theory data (PBE) for an optimized crystal structure of Pm4Dy2Ho2Tm.

Results
Uncorrected energy   -0.170 Ha/atom
Density   7.99 g cm⁻³
Energy of formation from the pure elements   0.020 eV per atom

a b c (Å): 15.203 5.062 7.998
angles (deg): 90.00 108.49 90.00
Space group C2/m (No. 12)
Symmetry-distinct sites (fractional):
Pm: 0.054 0.000 0.331
Pm: 0.222 0.500 0.332
Dy: 0.111 0.500 0.670
Ho: 0.167 0.000 0.000
Tm: 0.000 0.500 0.000

Among the records above, which one has the highest energy of formation from the pure elements? Pm4Dy2Ho2Tm

Which value of uncorrected energy does entry 1 give? -0.170 Ha/atom